Record 1
Entry from Alexandria: a relaxed structure of SrZnNi2 (GGA-PBE).

a = 6.5374 Å, b = 6.5374 Å, c = 6.5374 Å
α = 90.00°, β = 90.00°, γ = 90.00°
Closest atoms and distances in Å follow each position.
Positions (direct):
Sr (0.0000, 0.0000, 0.0000)  8 Ni 2.83
Sr (0.0000, 0.5000, 0.5000)  8 Ni 2.83
Sr (0.5000, 0.0000, 0.5000)  8 Ni 2.83
Sr (0.5000, 0.5000, 0.0000)  8 Ni 2.83
Zn (0.0000, 0.0000, 0.5000)  8 Ni 2.83
Zn (0.0000, 0.5000, 0.0000)  8 Ni 2.83
Zn (0.5000, 0.0000, 0.0000)  8 Ni 2.83
Zn (0.5000, 0.5000, 0.5000)  8 Ni 2.83
Ni (0.2500, 0.2500, 0.2500)  4 Sr 2.83, 4 Zn 2.83
Ni (0.2500, 0.2500, 0.7500)  4 Sr 2.83, 4 Zn 2.83
Ni (0.2500, 0.7500, 0.2500)  4 Sr 2.83, 4 Zn 2.83
Ni (0.2500, 0.7500, 0.7500)  4 Sr 2.83, 4 Zn 2.83
Ni (0.7500, 0.2500, 0.2500)  4 Sr 2.83, 4 Zn 2.83
Ni (0.7500, 0.2500, 0.7500)  4 Sr 2.83, 4 Zn 2.83
Ni (0.7500, 0.7500, 0.2500)  4 Sr 2.83, 4 Zn 2.83
Ni (0.7500, 0.7500, 0.7500)  4 Sr 2.83, 4 Zn 2.83

Computed properties:
As for the space group: No. 225. As for the total DFT energy (no corrections): -3.393 eV/atom. For the formation enthalpy at 0 K, the calculation gives 237 meV per atom. The value obtained for the spin magnetization is 0.000 μB per atom. The density of states at the Fermi level is 0.798 states/eV/atom.

Record 2
Entry from Alexandria: a relaxed structure of Pa2RhSe2N2 (GGA-PBE).

a = 3.8891 Å, b = 3.8891 Å, c = 11.3560 Å
α = 90.00°, β = 90.00°, γ = 120.00°
Closest atoms and distances in Å follow each position.
Positions (direct):
Pa (0.3333, 0.6667, 0.1289)  4 N 2.30-2.33
Pa (0.6667, 0.3333, 0.8711)  4 N 2.30-2.33
Rh (0.0000, 0.0000, 0.5000)  2 Se 2.40
Se (0.0000, 0.0000, 0.2888)  1 Rh 2.40
Se (0.0000, 0.0000, 0.7112)  1 Rh 2.40
N (0.3333, 0.6667, 0.9267)  4 Pa 2.30-2.33
N (0.6667, 0.3333, 0.0733)  4 Pa 2.30-2.33

Computed properties:
As for the space group: No. 164. As for the total DFT energy (no corrections): -8.244 eV/atom. The raw formation energy comes out at -1.106 eV/atom. The value obtained for the spin magnetization is 0.123 μB per atom. The density of states at the Fermi level is 0.629 states/eV/atom.

Record 3
Entry from Alexandria: a relaxed structure of NdCdHg5 (GGA-PBE).

a = 4.9491 Å, b = 4.9491 Å, c = 7.4773 Å
α = 90.00°, β = 90.00°, γ = 90.00°
Closest atoms and distances in Å follow each position.
Positions (direct):
Nd (0.0000, 0.0000, 0.0000)  12 Hg 3.25-3.50
Cd (0.0000, 0.0000, 0.5000)  8 Hg 2.96
Hg (0.0000, 0.5000, 0.2823)  2 Cd 2.96, 3 Hg 3.25-3.26, 2 Nd 3.25
Hg (0.0000, 0.5000, 0.7177)  2 Cd 2.96, 3 Hg 3.25-3.26, 2 Nd 3.25
Hg (0.5000, 0.0000, 0.2823)  2 Cd 2.96, 3 Hg 3.25-3.26, 2 Nd 3.25
Hg (0.5000, 0.0000, 0.7177)  2 Cd 2.96, 3 Hg 3.25-3.26, 2 Nd 3.25
Hg (0.5000, 0.5000, 0.0000)  8 Hg 3.25, 4 Nd 3.50

Computed properties:
As for the space group: No. 123. As for the total DFT energy (no corrections): -1.252 eV/atom. For the formation enthalpy at 0 K, the calculation gives -225 meV per atom. The value obtained for the spin magnetization is 0.000 μB per atom. The density of states at the Fermi level is 0.578 states/eV/atom.

Record 4
Entry from Alexandria: a relaxed structure of CdFe2IrAu (GGA-PBE).

a = 4.4561 Å, b = 4.4561 Å, c = 5.1251 Å
α = 90.00°, β = 90.00°, γ = 90.00°
Closest atoms and distances in Å follow each position.
Positions (direct):
Cd (0.0000, 0.0000, 0.0000)  2 Ir 2.56
Fe (0.0000, 0.5000, 0.5000)  2 Ir 2.23
Fe (0.5000, 0.0000, 0.5000)  2 Ir 2.23
Ir (0.0000, 0.0000, 0.5000)  4 Fe 2.23
Au (0.5000, 0.5000, 0.0000)  4 Cd 3.15, 8 Fe 3.40

Computed properties:
As for the space group: No. 123. As for the total DFT energy (no corrections): -4.684 eV/atom. For the formation enthalpy at 0 K, the calculation gives 1311 meV per atom. The value obtained for the spin magnetization is 0.039 μB per atom. The density of states at the Fermi level is 1.829 states/eV/atom.

Record 5
Entry from Alexandria: a relaxed structure of CdHg2Bi2 (GGA-PBE).

a = 4.4228 Å, b = 4.4228 Å, c = 9.3611 Å
α = 90.00°, β = 90.00°, γ = 120.00°
Closest atoms and distances in Å follow each position.
Positions (direct):
Cd (0.0000, 0.0000, 0.0000)  6 Hg 3.03
Hg (0.3333, 0.6667, 0.1736)  3 Cd 3.03, 3 Bi 3.34
Hg (0.6667, 0.3333, 0.8264)  3 Cd 3.03, 3 Bi 3.34
Bi (0.3333, 0.6667, 0.5972)  3 Bi 3.14, 3 Hg 3.34
Bi (0.6667, 0.3333, 0.4028)  3 Bi 3.14, 3 Hg 3.34

Computed properties:
As for the space group: No. 164. As for the total DFT energy (no corrections): -1.801 eV/atom. For the formation enthalpy at 0 K, the calculation gives 55 meV per atom. The value obtained for the spin magnetization is 0.000 μB per atom. The density of states at the Fermi level is 0.281 states/eV/atom.

Record 6
Entry from Alexandria: a relaxed structure of AgMoRh2 (GGA-PBE).

a = 2.7714 Å, b = 2.7714 Å, c = 27.9574 Å
α = 90.00°, β = 90.00°, γ = 120.00°
Closest atoms and distances in Å follow each position.
Positions (direct):
Ag (0.0000, 0.0000, 0.0000)  6 Ag 2.77, 3 Rh 2.88, 3 Mo 2.98
Ag (0.3333, 0.6667, 0.6667)  6 Ag 2.77, 3 Rh 2.88, 3 Mo 2.98
Ag (0.6667, 0.3333, 0.3333)  6 Ag 2.77, 3 Rh 2.88, 3 Mo 2.98
Mo (0.0000, 0.0000, 0.2433)  3 Rh 2.66, 6 Mo 2.77, 3 Ag 2.98
Mo (0.3333, 0.6667, 0.9100)  3 Rh 2.66, 6 Mo 2.77, 3 Ag 2.98
Mo (0.6667, 0.3333, 0.5767)  3 Rh 2.66, 6 Mo 2.77, 3 Ag 2.98
Rh (0.0000, 0.0000, 0.5005)  3 Mo 2.66, 9 Rh 2.77-2.78
Rh (0.0000, 0.0000, 0.7525)  9 Rh 2.77-2.78, 3 Ag 2.88
Rh (0.3333, 0.6667, 0.1671)  3 Mo 2.66, 9 Rh 2.77-2.78
Rh (0.3333, 0.6667, 0.4192)  9 Rh 2.77-2.78, 3 Ag 2.88
Rh (0.6667, 0.3333, 0.0858)  9 Rh 2.77-2.78, 3 Ag 2.88
Rh (0.6667, 0.3333, 0.8338)  3 Mo 2.66, 9 Rh 2.77-2.78

Computed properties:
As for the space group: No. 160. As for the total DFT energy (no corrections): -6.936 eV/atom. For the formation enthalpy at 0 K, the calculation gives 161 meV per atom. The value obtained for the spin magnetization is 0.239 μB per atom. The density of states at the Fermi level is 1.295 states/eV/atom.

Record 7
Entry from Alexandria: a relaxed structure of Pa2Co4Ge3Au (GGA-PBE).

a = 3.8411 Å, b = 3.8411 Å, c = 10.9140 Å
α = 90.00°, β = 90.00°, γ = 90.00°
Closest atoms and distances in Å follow each position.
Positions (direct):
Pa (0.0000, 0.5000, 0.2484)  4 Co 2.85, 4 Ge 3.07
Pa (0.5000, 0.0000, 0.7516)  4 Co 2.85, 4 Ge 3.07
Co (0.0000, 0.0000, 0.5000)  4 Ge 2.32
Co (0.0000, 0.5000, 0.8317)  1 Ge 2.32
Co (0.5000, 0.0000, 0.1683)  1 Ge 2.32
Co (0.5000, 0.5000, 0.5000)  4 Ge 2.32
Ge (0.0000, 0.0000, 0.0000)  4 Co 2.66, 4 Au 2.72
Ge (0.0000, 0.5000, 0.6196)  5 Co 2.32
Ge (0.5000, 0.0000, 0.3804)  5 Co 2.32
Au (0.5000, 0.5000, 0.0000)  4 Co 2.66, 4 Ge 2.72

Computed properties:
As for the space group: No. 115. As for the total DFT energy (no corrections): -6.902 eV/atom. For the formation enthalpy at 0 K, the calculation gives -447 meV per atom. The value obtained for the spin magnetization is 0.000 μB per atom. The density of states at the Fermi level is 0.806 states/eV/atom.

Record 8
Entry from Alexandria: a relaxed structure of MgMnPb2 (GGA-PBE).

a = 3.3559 Å, b = 4.9012 Å, c = 11.9266 Å
α = 90.00°, β = 90.00°, γ = 90.00°
Closest atoms and distances in Å follow each position.
Positions (direct):
Mg (0.0000, 0.0000, 0.0000)  2 Mn 2.97, 4 Pb 3.13
Mg (0.5000, 0.5000, 0.5000)  2 Mn 2.97, 4 Pb 3.13
Mn (0.0000, 0.5000, 0.2949)  2 Mg 2.97, 6 Pb 2.97-3.02
Mn (0.5000, 0.0000, 0.7949)  2 Mg 2.97, 6 Pb 2.97-3.02
Pb (0.0000, 0.0000, 0.5838)  2 Mn 3.02, 4 Mg 3.13, 2 Pb 3.36
Pb (0.0000, 0.5000, 0.8028)  4 Mn 2.97
Pb (0.5000, 0.0000, 0.3028)  4 Mn 2.97
Pb (0.5000, 0.5000, 0.0838)  2 Mn 3.02, 4 Mg 3.13, 2 Pb 3.36

Computed properties:
As for the space group: No. 44. As for the total DFT energy (no corrections): -4.319 eV/atom. For the formation enthalpy at 0 K, the calculation gives 226 meV per atom. The value obtained for the spin magnetization is 0.936 μB per atom. The density of states at the Fermi level is 0.504 states/eV/atom.

spin magnetization of number 7 (Pa2Co4Ge3Au)? 0.000 μB per atom